Entry 1:
The following is a DFT calculation (PBEsol) of a relaxed structure of K2Mg2Si2O7.

Properties
Magnetization: 0.0 μB per formula unit
ΔE_f (raw): -252.1 kJ per mole of atoms
SG: P-31m
DFT total energy: -87.910 eV per cell

Cell and atoms, written as extended XYZ:
```
13
Lattice="5.094 0.000 0.000 -2.547 4.412 0.000 0.000 0.000 6.585" Properties=species:S:1:pos:R:3 pbc="T T T"
K 0.000 2.941 0.000
K 2.547 1.471 0.000
Mg 0.000 2.941 3.293
Mg 2.547 1.471 3.293
Si 0.000 0.000 1.701
Si 0.000 0.000 4.884
O 0.000 0.000 0.000
O -0.795 1.378 2.100
O -1.752 3.034 4.486
O 1.591 0.000 2.100
O 0.795 1.378 4.486
O 3.503 0.000 4.486
O 1.752 3.034 2.100
```



Entry 2:
The following is a DFT calculation (PBEsol) of a relaxed structure of K2MgSiO4.

Properties
Magnetization: 0.0 μB per formula unit
ΔE_f (raw): -237.6 kJ per mole of atoms
SG: Pca2_1
DFT total energy: -403.411 eV per cell

Cell and atoms, written as extended XYZ:
```
64
Lattice="10.955 0.000 0.000 0.000 5.459 0.000 0.000 0.000 15.602" Properties=species:S:1:pos:R:3 pbc="T T T"
K 0.114 0.040 1.918
K 0.130 2.757 7.801
K 2.561 3.016 13.670
K 2.615 0.242 11.625
K 2.862 0.242 3.824
K 2.916 3.016 5.869
K 5.347 2.757 0.000
K 5.363 0.040 9.719
K 5.592 5.419 1.918
K 5.608 2.702 7.801
K 8.039 2.443 13.670
K 8.093 5.218 11.625
K 8.340 5.218 3.824
K 8.394 2.443 5.869
K 10.825 2.702 0.000
K 10.841 5.419 9.719
Mg 0.107 2.778 3.908
Mg 2.618 0.181 15.574
Mg 2.860 0.181 7.773
Mg 5.371 2.778 11.709
Mg 5.584 2.681 3.908
Mg 8.096 5.278 15.574
Mg 8.337 5.278 7.773
Mg 10.848 2.681 11.709
Si 0.080 0.051 5.813
Si 2.568 2.878 9.776
Si 2.909 2.878 1.975
Si 5.398 0.051 13.614
Si 5.557 5.408 5.813
Si 8.046 2.581 9.776
Si 8.387 2.581 1.975
Si 10.875 5.408 13.614
O 0.152 1.541 13.259
O 0.247 4.515 12.266
O 0.927 4.985 14.849
O 1.137 2.223 10.277
O 1.637 0.342 6.277
O 1.924 3.050 3.281
O 2.240 1.874 0.852
O 2.268 4.351 9.104
O 3.209 4.351 1.303
O 3.238 1.874 8.653
O 3.553 3.050 11.082
O 3.840 0.342 14.078
O 4.340 2.223 2.476
O 4.550 4.985 7.048
O 5.230 4.515 4.465
O 5.325 1.541 5.458
O 5.630 3.918 13.259
O 5.725 0.944 12.266
O 6.405 0.474 14.849
O 6.615 3.236 10.277
O 7.115 5.117 6.277
O 7.402 2.409 3.281
O 7.717 3.585 0.852
O 7.746 1.108 9.104
O 8.687 1.108 1.303
O 8.716 3.585 8.653
O 9.031 2.409 11.082
O 9.318 5.117 14.078
O 9.818 3.236 2.476
O 10.028 0.474 7.048
O 10.708 0.944 4.465
O 10.803 3.918 5.458
```



Entry 3:
The following is a DFT calculation (PBEsol) of a relaxed structure of K2MgSiO.

Properties
Magnetization: 2.0 μB per formula unit
ΔE_f (raw): 43.2 kJ per mole of atoms
SG: P4/mmm
DFT total energy: -12.741 eV per cell

Cell and atoms, written as extended XYZ:
```
5
Lattice="6.302 0.000 0.000 0.000 6.302 0.000 0.000 0.000 4.892" Properties=species:S:1:pos:R:3 pbc="T T T"
K 0.000 3.151 0.000
K 3.151 0.000 0.000
Mg 0.000 0.000 2.446
Si 0.000 0.000 0.000
O 3.151 3.151 2.446
```



Entry 4:
The following is a DFT calculation (PBEsol) of a relaxed structure of K3MgOs.

Properties
Magnetization: 2.8 μB per formula unit
ΔE_f: 864 kJ/mol of formula units
SG: Pm-3m
DFT total energy: -8.380 eV per cell

Cell and atoms, written as extended XYZ:
```
5
Lattice="6.414 0.000 0.000 0.000 6.414 0.000 0.000 0.000 6.414" Properties=species:S:1:pos:R:3 pbc="T T T"
K 0.000 0.000 3.207
K 0.000 3.207 0.000
K 3.207 0.000 0.000
Mg 0.000 0.000 0.000
Os 3.207 3.207 3.207
```



Entry 5:
The following is a DFT calculation (PBEsol) of a relaxed structure of K2MgOs.

Properties
Magnetization: 0.0 μB per formula unit
ΔE_f: 437 kJ/mol of formula units
SG: Pmmm
DFT total energy: -11.667 eV per cell

Cell and atoms, written as extended XYZ:
```
4
Lattice="2.922 0.000 0.000 0.000 5.142 0.000 0.000 0.000 5.913" Properties=species:S:1:pos:R:3 pbc="T T T"
K 0.000 0.000 0.000
K 1.461 2.571 0.000
Mg 0.000 2.571 2.957
Os 1.461 0.000 2.957
```



Entry 6:
The following is a DFT calculation (PBEsol) of a relaxed structure of K2MgOs.

Properties
Magnetization: 0.2 μB per formula unit
ΔE_f: 475 kJ/mol of formula units
SG: F-43m
DFT total energy: -11.278 eV per cell

Cell and atoms, written as extended XYZ:
```
4
Lattice="0.000 3.617 3.617 3.617 0.000 3.617 3.617 3.617 0.000" Properties=species:S:1:pos:R:3 pbc="T T T"
K 0.000 0.000 0.000
K 1.809 1.809 1.809
Mg 3.617 3.617 3.617
Os 5.426 5.426 5.426
```